No. 1
## K2O (PBE-GGA)

Data for crystalline K2O at its relaxed geometry.

The structure belongs to space group I4_1/amd (No. 141, origin choice 2); the cell edges are 5.212, 5.212 and 13.373 Å and the angles 90.00°, 90.00° and 90.00°. The distinct sites, in fractional coordinates, are K at (0.000, 0.250, 0.074) and O at (0.000, 0.250, 0.875).

The density of states at the Fermi level is 0.0859 states/eV/atom. The total energy comes out at -40.41 eV for the cell shown. Its raw formation energy is -94.85 kJ/mol of atoms.

=====

No. 2
## KO (PBE-GGA)

Data for crystalline KO at its relaxed geometry.

The structure belongs to space group P6_3/mmc (No. 194); the cell edges are 4.7727, 4.7727 and 5.3659 Å and the angles 90.00°, 90.00° and 120.00°. The distinct sites, in fractional coordinates, are K at (0.3333, 0.6667, 0.2500) and O at (0.3333, 0.6667, 0.7500).

The density of states at the Fermi level is 0.4178 states/eV/atom. The total energy comes out at -14.43 eV for the cell shown. Its raw formation energy is -55.94 kJ/mol of atoms.

=====

No. 3
## KO2 (PBE-GGA)

Data for crystalline KO2 at its relaxed geometry.

The structure belongs to space group Cmmm (No. 65); the cell edges are 4.449, 6.274 and 3.491 Å and the angles 90.00°, 90.00° and 90.00°. The distinct sites, in fractional coordinates, are K at (0.000, 0.000, 0.000) and O at (0.000, 0.392, 0.500).

The density of states at the Fermi level is 0.6082 states/eV/atom. The total energy comes out at -26.99 eV for the cell shown. Its raw formation energy is -79.84 kJ/mol of atoms. The calculation puts the polymorph energy (0 for the lowest one) at 42 meV per atom.

=====

No. 4
## K2O (PBE-GGA)

Data for crystalline K2O at its relaxed geometry.

The structure belongs to space group P4/mmm (No. 123); the cell edges are 4.042, 4.042 and 5.108 Å and the angles 90.00°, 90.00° and 90.00°. The distinct sites, in fractional coordinates, are K at (0.000, 0.000, 0.000), K at (0.500, 0.500, 0.500) and O at (0.000, 0.000, 0.500).

The density of states at the Fermi level is 0.6310 states/eV/atom. The total energy comes out at -9.63 eV for the cell shown. Its raw formation energy is -79.51 kJ/mol of atoms.

=====

No. 5
## K3O (PBE-GGA)

Data for crystalline K3O at its relaxed geometry.

The structure belongs to space group Pmm2 (No. 25); the cell edges are 3.750, 3.982 and 11.067 Å and the angles 90.00°, 90.00° and 90.00°. The distinct sites, in fractional coordinates, are K at (0.000, 0.000, 0.000), K at (0.000, 0.500, 0.234), K at (0.500, 0.500, 0.620) and O at (0.500, 0.000, 0.153).

The density of states at the Fermi level is 0.8124 states/eV/atom. The total energy comes out at -10.44 eV for the cell shown. Its raw formation energy is -52.85 kJ/mol of atoms.

=====

No. 6
## KO2 (PBE-GGA)

Data for crystalline KO2 at its relaxed geometry.

The structure belongs to space group C2/c (No. 15); the cell edges are 6.974, 4.354 and 7.178 Å and the angles 90.00°, 103.93° and 90.00°. The distinct sites, in fractional coordinates, are K at (0.000, 0.167, 0.250) and O at (0.196, 0.368, 0.953).

The density of states at the Fermi level is 0.7784 states/eV/atom. The total energy comes out at -54.37 eV for the cell shown. Its raw formation energy is -82.96 kJ/mol of atoms. The calculation puts the polymorph energy (0 for the lowest one) at 9 meV per atom.

=====

No. 7
## K2O (PBE-GGA)

Data for crystalline K2O at its relaxed geometry.

The structure belongs to space group Pnnm (No. 58); the cell edges are 6.035, 6.270 and 4.224 Å and the angles 90.00°, 90.00° and 90.00°. The distinct sites, in fractional coordinates, are K at (0.172, 0.206, 0.000) and O at (0.000, 0.000, 0.500).

The total energy comes out at -20.27 eV for the cell shown. Its raw formation energy is -95.89 kJ/mol of atoms.

=====

No. 8
## KO (PBE-GGA)

Data for crystalline KO at its relaxed geometry.

The structure belongs to space group P6_3/mmc (No. 194); the cell edges are 9.1964, 9.1964 and 3.6661 Å and the angles 90.00°, 90.00° and 120.00°. The distinct sites, in fractional coordinates, are K at (0.2118, 0.4236, 0.2500) and O at (0.0400, 0.5200, 0.7500).

The density of states at the Fermi level is 0.4912 states/eV/atom. The total energy comes out at -44.02 eV for the cell shown. Its raw formation energy is -61.77 kJ/mol of atoms.

=====

No. 9
## KO3 (PBE-GGA)

Data for crystalline KO3 at its relaxed geometry.

The structure belongs to space group Imm2 (No. 44); the cell edges are 4.226, 5.789 and 6.404 Å and the angles 90.00°, 90.00° and 90.00°. The distinct sites, in fractional coordinates, are K at (0.000, 0.000, 0.000), O at (0.000, 0.000, 0.477) and O at (0.000, 0.198, 0.593).

The total energy comes out at -37.10 eV for the cell shown. Its raw formation energy is -62.17 kJ/mol of atoms. The calculation puts the polymorph energy (0 for the lowest one) at 0 meV per atom.

=====

No. 10
## KO3 (PBE-GGA)

Data for crystalline KO3 at its relaxed geometry.

The structure belongs to space group Cmcm (No. 63); the cell edges are 6.562, 8.847 and 5.801 Å and the angles 90.00°, 90.00° and 90.00°. The distinct sites, in fractional coordinates, are K at (0.000, 0.158, 0.250), O at (0.000, 0.226, 0.750) and O at (0.175, 0.141, 0.750).

The total energy comes out at -73.79 eV for the cell shown. Its raw formation energy is -59.69 kJ/mol of atoms. The calculation puts the polymorph energy (0 for the lowest one) at 26 meV per atom.

=====

No. 11
## K2OsO5 (PBE-GGA)

Data for crystalline K2OsO5 at its relaxed geometry.

The structure belongs to space group P6_3/m (No. 176); the cell edges are 10.9799, 10.9799 and 8.3678 Å and the angles 90.00°, 90.00° and 120.00°. The distinct sites, in fractional coordinates, are K at (0.0000, 0.0000, 0.0000), K at (0.0437, 0.3476, 0.2500), K at (0.3333, 0.6667, 0.5173), Os at (0.0433, 0.3596, 0.7500), O at (0.0281, 0.8311, 0.2500), O at (0.1264, 0.5519, 0.7500), O at (0.1284, 0.6589, 0.2500) and O at (0.1302, 0.3703, 0.5650).

The density of states at the Fermi level is 0.0000 states/eV/atom. The total energy comes out at -295.57 eV for the cell shown. Its raw formation energy is -133.21 kJ/mol of atoms. The calculation puts the polymorph energy (0 for the lowest one) at 0 meV per atom.

=====

No. 12
## KOsO2 (PBE-GGA)

Data for crystalline KOsO2 at its relaxed geometry.

The structure belongs to space group I-42d (No. 122); the cell edges are 4.999, 4.999 and 11.209 Å and the angles 90.00°, 90.00° and 90.00°. The distinct sites, in fractional coordinates, are K at (0.000, 0.000, 0.000), Os at (0.000, 0.000, 0.500) and O at (0.108, 0.250, 0.625).

The density of states at the Fermi level is 0.9032 states/eV/atom. The total energy comes out at -98.60 eV for the cell shown. Its raw formation energy is -58.02 kJ/mol of atoms.